A plane-wave DFT calculation with PBE-GGA was carried out for a relaxed structure of NaCeAgS3.

Results
uncorrected formation energy = -1.225 eV per atom
magnetization = 0.000 μB/cell
DFT total energy = -4.973 eV/atom
space group = No. 11

Geometry as POSCAR:
```
NaCeAgS3
1.0
4.1443 0.0000 0.0000
0.0000 10.0519 0.6238
0.0000 -1.9249 6.9621
Na Ce Ag S
2 2 2 6
direct
0.2500 0.3326 0.3658
0.7500 0.6674 0.6342
0.2500 0.6786 0.1337
0.7500 0.3214 0.8663
0.2500 0.0666 0.6413
0.7500 0.9334 0.3587
0.7500 0.8125 0.0180
0.2500 0.1875 0.9820
0.2500 0.8131 0.4918
0.7500 0.1869 0.5082
0.7500 0.5082 0.2195
0.2500 0.4918 0.7805
```